(1)
# LaPrY4

A relaxed LaPrY4 crystal (PBE, the Alexandria database).

Cell lengths 3.629, 12.016, 10.258 Å; angles 115.27, 90.00, 90.00 degrees
Sites, in units of the cell vectors:
1 La 0.000 0.000 0.500
2 La 0.500 0.500 0.000
3 Pr 0.500 0.500 0.500
4 Pr 0.000 0.000 0.000
5 Y 0.500 0.168 0.333
6 Y 0.000 0.332 0.167
7 Y 0.500 0.832 0.667
8 Y 0.000 0.668 0.833
9 Y 0.000 0.668 0.335
10 Y 0.500 0.832 0.165
11 Y 0.000 0.332 0.665
12 Y 0.500 0.168 0.835

## Properties
Space group: C2/m, No. 12

(2)
# LaPrY4

A relaxed LaPrY4 crystal (PBE, the Alexandria database).

Cell lengths 6.302, 6.302, 12.300 Å; angles 104.78, 104.78, 60.03 degrees
Sites, in units of the cell vectors:
1 La 0.500 0.000 0.500
2 La 0.000 0.500 0.000
3 Pr 0.080 0.920 0.250
4 Pr 0.920 0.080 0.750
5 Y 0.251 0.418 0.750
6 Y 0.168 0.664 0.499
7 Y 0.832 0.336 0.501
8 Y 0.418 0.251 0.250
9 Y 0.582 0.749 0.750
10 Y 0.336 0.832 0.001
11 Y 0.664 0.168 0.999
12 Y 0.749 0.582 0.250

## Properties
Space group: C2/c, No. 15

Relative calculated energies, zero for the most stable structure, unit meV/atom: (1) 13; (2) 0.

(1)
# LaPr2Y3

A relaxed LaPr2Y3 crystal (PBE, the Alexandria database).

Cell lengths 9.153, 6.789, 6.789 Å; angles 95.49, 82.37, 82.37 degrees
Sites, in units of the cell vectors:
1 La 0.750 0.914 0.086
2 La 0.250 0.086 0.914
3 Pr 0.626 0.131 0.623
4 Pr 0.126 0.623 0.131
5 Pr 0.874 0.377 0.869
6 Pr 0.374 0.869 0.377
7 Y 0.250 0.419 0.581
8 Y 0.750 0.581 0.419
9 Y 0.999 0.835 0.667
10 Y 0.501 0.333 0.165
11 Y 0.499 0.667 0.835
12 Y 0.001 0.165 0.333

## Properties
Space group: C2/c, No. 15

(2)
# LaPr2Y3

A relaxed LaPr2Y3 crystal (PBE, the Alexandria database).

Cell lengths 3.443, 6.742, 17.957 Å; angles 90.00, 90.00, 90.00 degrees
Sites, in units of the cell vectors:
1 La 0.000 0.000 0.500
2 La 0.500 0.500 0.000
3 Pr 0.500 0.773 0.151
4 Pr 0.000 0.273 0.349
5 Pr 0.000 0.727 0.651
6 Pr 0.500 0.227 0.849
7 Y 0.000 0.000 0.000
8 Y 0.500 0.500 0.500
9 Y 0.500 0.733 0.821
10 Y 0.500 0.267 0.179
11 Y 0.000 0.233 0.679
12 Y 0.000 0.767 0.321

## Properties
Space group: Pnnm, No. 58

Relative calculated energies, zero for the most stable structure, unit meV/atom: (1) 0; (2) 177.

(1)
# La2Pr2Y

A relaxed La2Pr2Y crystal (PBE, the Alexandria database).

Cell lengths 6.481, 7.057, 8.972 Å; angles 113.16, 90.00, 90.00 degrees
Sites, in units of the cell vectors:
1 La 0.750 0.404 0.339
2 La 0.250 0.065 0.661
3 La 0.250 0.596 0.661
4 La 0.750 0.935 0.339
5 Pr 0.750 0.408 0.816
6 Pr 0.750 0.829 0.657
7 Pr 0.250 0.592 0.184
8 Pr 0.250 0.171 0.343
9 Y 0.000 0.000 0.000
10 Y 0.500 0.000 0.000

## Properties
Space group: Cmcm, No. 63

(2)
# La2Pr2Y

A relaxed La2Pr2Y crystal (PBE, the Alexandria database).

Cell lengths 5.982, 7.127, 9.641 Å; angles 111.69, 108.07, 90.00 degrees
Sites, in units of the cell vectors:
1 La 0.616 0.366 0.731
2 La 0.991 0.741 0.483
3 La 0.009 0.259 0.517
4 La 0.384 0.634 0.269
5 Pr 0.806 0.301 0.113
6 Pr 0.806 0.812 0.113
7 Pr 0.194 0.188 0.887
8 Pr 0.194 0.699 0.887
9 Y 0.389 0.139 0.278
10 Y 0.611 0.861 0.722

## Properties
Space group: Imma, No. 74

Relative calculated energies, zero for the most stable structure, unit meV/atom: (1) 148; (2) 0.